(1)
A geometry-optimized SrVTe2O8 structure. Source: Alexandria via LeMat-Bulk, functional GGA+U.

Calculated values
- DFT total energy: -6.072 eV/atom
- Volume: 14.72 Å³ per atom
- Total moment: 0.0000 μB/atom

Unit cell a=5.001 b=5.013 c=7.101 alpha=87.52 beta=87.70 gamma=83.64
Positions (direct):
Sr (0.000, 0.000, 0.000)
V (0.000, 0.000, 0.500)
Te (0.454, 0.453, 0.267)
Te (0.546, 0.547, 0.733)
O (0.168, 0.788, 0.306)
O (0.217, 0.835, 0.696)
O (0.259, 0.264, 0.458)
O (0.319, 0.323, 0.050)
O (0.681, 0.677, 0.950)
O (0.741, 0.736, 0.542)
O (0.783, 0.165, 0.304)
O (0.832, 0.212, 0.694)



(2)
A geometry-optimized SrV2TeO structure. Source: Alexandria via LeMat-Bulk, functional GGA+U.

Calculated values
- DFT total energy: -3.088 eV/atom
- Volume: 47.50 Å³ per atom
- Total moment: 1.3976 μB/atom

Unit cell a=6.332 b=6.332 c=5.923 alpha=90.00 beta=90.00 gamma=90.00
Positions (direct):
Sr (0.000, 0.000, 0.000)
V (0.000, 0.500, 0.000)
V (0.500, 0.000, 0.000)
Te (0.000, 0.000, 0.500)
O (0.500, 0.500, 0.500)



(3)
A geometry-optimized SrV2TeO8 structure. Source: Alexandria via LeMat-Bulk, functional GGA+U.

Calculated values
- DFT total energy: -6.877 eV/atom
- E above lowest polymorph: 0 meV/atom
- Volume: 15.83 Å³ per atom
- Total moment: 0.0000 μB/atom

Unit cell a=10.470 b=11.543 c=14.000 alpha=85.39 beta=71.05 gamma=71.82
Positions (direct):
Sr (0.056, 0.349, 0.371)
Sr (0.074, 0.342, 0.871)
Sr (0.424, 0.180, 0.434)
Sr (0.426, 0.169, 0.934)
Sr (0.574, 0.831, 0.066)
Sr (0.576, 0.820, 0.566)
Sr (0.926, 0.658, 0.129)
Sr (0.944, 0.651, 0.629)
V (0.006, 0.233, 0.114)
V (0.017, 0.234, 0.619)
V (0.151, 0.918, 0.068)
V (0.157, 0.916, 0.569)
V (0.293, 0.477, 0.133)
V (0.330, 0.471, 0.627)
V (0.424, 0.175, 0.183)
V (0.439, 0.169, 0.680)
V (0.561, 0.831, 0.320)
V (0.576, 0.825, 0.817)
V (0.670, 0.529, 0.373)
V (0.707, 0.523, 0.867)
V (0.843, 0.084, 0.431)
V (0.849, 0.082, 0.932)
V (0.983, 0.766, 0.381)
V (0.994, 0.767, 0.886)
Te (0.215, 0.922, 0.301)
Te (0.227, 0.918, 0.800)
Te (0.284, 0.543, 0.383)
Te (0.288, 0.537, 0.882)
Te (0.712, 0.463, 0.118)
Te (0.716, 0.457, 0.617)
Te (0.773, 0.082, 0.200)
Te (0.785, 0.078, 0.699)
O (0.017, 0.055, 0.132)
O (0.030, 0.054, 0.633)
O (0.042, 0.267, 0.212)
O (0.066, 0.816, 0.078)
O (0.068, 0.816, 0.580)
O (0.073, 0.257, 0.711)
O (0.077, 0.600, 0.411)
O (0.084, 0.610, 0.939)
O (0.122, 0.493, 0.191)
O (0.155, 0.213, 0.510)
O (0.156, 0.204, 0.014)
O (0.186, 0.767, 0.332)
O (0.200, 0.764, 0.832)
O (0.223, 0.492, 0.751)
O (0.225, 0.533, 0.548)
O (0.231, 0.942, 0.438)
O (0.234, 0.943, 0.938)
O (0.276, 0.875, 0.133)
O (0.286, 0.378, 0.913)
O (0.287, 0.868, 0.628)
O (0.288, 0.167, 0.285)
O (0.289, 0.381, 0.379)
O (0.305, 0.167, 0.786)
O (0.317, 0.557, 0.018)
O (0.354, 0.534, 0.215)
O (0.389, 0.313, 0.111)
O (0.408, 0.303, 0.603)
O (0.424, 0.843, 0.263)
O (0.437, 0.841, 0.761)
O (0.458, 0.534, 0.612)
O (0.463, 0.062, 0.099)
O (0.471, 0.054, 0.601)
O (0.529, 0.946, 0.399)
O (0.537, 0.938, 0.901)
O (0.542, 0.466, 0.388)
O (0.563, 0.159, 0.239)
O (0.576, 0.157, 0.737)
O (0.592, 0.697, 0.397)
O (0.611, 0.687, 0.889)
O (0.646, 0.466, 0.785)
O (0.683, 0.443, 0.982)
O (0.695, 0.833, 0.214)
O (0.711, 0.619, 0.621)
O (0.712, 0.833, 0.715)
O (0.713, 0.132, 0.372)
O (0.714, 0.622, 0.087)
O (0.724, 0.125, 0.867)
O (0.766, 0.057, 0.062)
O (0.769, 0.058, 0.562)
O (0.775, 0.467, 0.452)
O (0.777, 0.508, 0.249)
O (0.800, 0.236, 0.168)
O (0.814, 0.233, 0.668)
O (0.844, 0.796, 0.986)
O (0.845, 0.787, 0.490)
O (0.878, 0.507, 0.809)
O (0.916, 0.390, 0.061)
O (0.923, 0.400, 0.589)
O (0.927, 0.743, 0.289)
O (0.932, 0.184, 0.420)
O (0.934, 0.184, 0.922)
O (0.958, 0.733, 0.788)
O (0.970, 0.946, 0.367)
O (0.983, 0.945, 0.868)



(4)
A geometry-optimized SrV2TeO8 structure. Source: Alexandria via LeMat-Bulk, functional GGA+U.

Calculated values
- DFT total energy: -6.851 eV/atom
- E above lowest polymorph: 26 meV/atom
- Volume: 16.48 Å³ per atom
- Total moment: 0.0000 μB/atom

Unit cell a=5.340 b=5.340 c=7.548 alpha=90.63 beta=90.63 gamma=66.71
Positions (direct):
Sr (0.000, 0.000, 0.000)
V (0.364, 0.364, 0.726)
V (0.636, 0.636, 0.274)
Te (0.000, 0.000, 0.500)
O (0.220, 0.729, 0.714)
O (0.235, 0.235, 0.551)
O (0.271, 0.780, 0.286)
O (0.277, 0.277, 0.922)
O (0.723, 0.723, 0.078)
O (0.729, 0.220, 0.714)
O (0.765, 0.765, 0.449)
O (0.780, 0.271, 0.286)



(5)
A geometry-optimized SrTeWO6 structure. Source: Alexandria via LeMat-Bulk, functional GGA+U.

Calculated values
- DFT total energy: -6.614 eV/atom
- Volume: 15.85 Å³ per atom
- Total moment: 0.0000 μB/atom

Unit cell a=5.615 b=5.615 c=5.223 alpha=90.00 beta=90.00 gamma=120.00
Positions (direct):
Sr (0.000, 0.000, 0.000)
Te (0.667, 0.333, 0.441)
W (0.333, 0.667, 0.501)
O (0.001, 0.582, 0.245)
O (0.074, 0.356, 0.670)
O (0.281, 0.926, 0.670)
O (0.418, 0.419, 0.245)
O (0.581, 0.999, 0.245)
O (0.644, 0.719, 0.670)